This record from the Alexandria database describes a relaxed AcPm2Hf crystal. The functional is PBE.

Cell and atoms, written as CIF:
```
data_AcPm2Hf
_chemical_formula_sum 'Ac1 Pm2 Hf1'
_cell_length_a 4.0505
_cell_length_b 4.0505
_cell_length_c 8.0933
_cell_angle_alpha 90.00
_cell_angle_beta 90.00
_cell_angle_gamma 90.00
_symmetry_space_group_name_H-M 'P 4/m m m'
_symmetry_Int_Tables_number 123
_symmetry_space_group_name_Hall '-P 4 2'
loop_
_atom_site_label
_atom_site_type_symbol
_atom_site_fract_x
_atom_site_fract_y
_atom_site_fract_z
_atom_site_occupancy
Ac1 Ac 0.0000 0.0000 0.0000 1
Pm1 Pm 0.5000 0.5000 0.2990 1
Hf1 Hf 0.0000 0.0000 0.5000 1
```

energy relative to the lowest polymorph listed for this composition: 0 kJ/mol of formula units
formation energy from the elements: 0.246 eV/atom
E: -22.58 eV/cell